This record from the Open Quantum Materials Database describes a relaxed Dy3Er3CoTe2 crystal. The functional is PBE-GGA.

The structure belongs to space group P-62m (No. 189); the cell edges are 8.3030, 8.3030 and 3.9109 Å and the angles 90.00°, 90.00° and 120.00°. Symmetry generates all atoms from Dy at (0.0000, 0.6018, 0.0000), Er at (0.0000, 0.2344, 0.5000), Co at (0.0000, 0.0000, 0.0000) and Te at (0.3333, 0.6667, 0.5000).

Its calculated total energy is -5.22 eV per atom.

***

This record from the Open Quantum Materials Database describes a relaxed Dy4Er3Co2Te2 crystal. The functional is PBE-GGA.

The structure belongs to space group Imm2 (No. 44); the cell edges are 3.815, 15.583 and 9.468 Å and the angles 90.00°, 90.00° and 90.00°. Symmetry generates all atoms from Dy at (0.000, 0.134, 0.000), Dy at (0.000, 0.352, 0.146), Er at (0.000, 0.000, 0.417), Er at (0.000, 0.314, 0.796), Co at (0.000, 0.237, 0.489), Te at (0.000, 0.000, 0.754) and Te at (0.000, 0.500, 0.654).

Its calculated total energy is -5.39 eV per atom.

***

This record from the Open Quantum Materials Database describes a relaxed DyEr6Co2Te2 crystal. The functional is PBE-GGA.

The structure belongs to space group Imm2 (No. 44); the cell edges are 3.816, 15.561 and 9.416 Å and the angles 90.00°, 90.00° and 90.00°. Symmetry generates all atoms from Dy at (0.000, 0.000, 0.000), Er at (0.000, 0.135, 0.580), Er at (0.000, 0.315, 0.375), Er at (0.000, 0.351, 0.729), Co at (0.000, 0.238, 0.070), Te at (0.000, 0.000, 0.336) and Te at (0.000, 0.500, 0.233).

Its calculated total energy is -5.39 eV per atom.

***

This record from the Open Quantum Materials Database describes a relaxed Dy3Er2TmCoTe2 crystal. The functional is PBE-GGA.

The structure belongs to space group Amm2 (No. 38); the cell edges are 3.880, 14.433 and 8.311 Å and the angles 90.00°, 90.00° and 90.00°. Symmetry generates all atoms from Dy at (0.000, 0.000, 0.000), Dy at (0.000, 0.118, 0.644), Er at (0.500, 0.200, 0.962), Tm at (0.500, 0.000, 0.365), Co at (0.500, 0.000, 0.761) and Te at (0.000, 0.167, 0.263).

Its calculated total energy is -5.18 eV per atom.

***

Q: Number 1 is which compound?
A: Dy3Er3CoTe2

***

Q: What is the calculated total energy in the fourth record?
A: -5.18 eV per atom